# 1
Compound: GdHo2O4
Source: OQMD
Functional: PBE
Structure: optimized geometry

Cell: 6.7527 6.7527 6.7527 Å, 119.99 90.02 119.99°
With the nearest neighbours (Å) after each atom.
Fractional positions:
O 0.1348 0.7304 0.8651  1 Gd 2.23, 3 Ho 2.30
O 0.5956 0.7304 0.8652  1 Gd 2.23, 3 Ho 2.30
O 0.1544 0.7696 0.3848  1 Gd 2.23, 3 Ho 2.30
O 0.6152 0.2304 0.8456  1 Gd 2.23, 3 Ho 2.30
O 0.6152 0.7696 0.3849  1 Gd 2.23, 3 Ho 2.30
O 0.6151 0.2304 0.3848  1 Gd 2.23, 3 Ho 2.30
O 0.1348 0.2696 0.4044  1 Gd 2.23, 3 Ho 2.30
O 0.1349 0.2696 0.8652  1 Gd 2.23, 3 Ho 2.30
Ho 0.3750 0.7500 0.1250  6 O 2.30
Ho 0.3750 0.7500 0.6250  6 O 2.30
Ho 0.8750 0.2500 0.6250  6 O 2.30
Ho 0.3750 0.2500 0.6250  6 O 2.30
Gd 0.7500 0.5000 0.2500  4 O 2.23
Gd 0.0000 0.0000 0.0000  4 O 2.23

Values from the calculation:
* space group: No. 227
* spin magnetization: 0.2 μB per formula unit
* raw total energy: -8.05 eV/atom


# 2
Compound: PrNd2AgHg3Au2
Source: OQMD
Functional: PBE
Structure: optimized geometry

Cell: 3.9248 8.0998 8.0998 Å, 120.06 90.00 90.00°
With the nearest neighbours (Å) after each atom.
Fractional positions:
Au 0.5000 0.3330 0.6678  3 Hg 3.00-3.02, 4 Nd 3.14, 2 Pr 3.16
Au 0.5000 0.6678 0.3330  3 Hg 3.00-3.02, 4 Nd 3.14, 2 Pr 3.16
Nd 0.0000 0.0000 0.5939  4 Au 3.14, 1 Ag 3.29, 6 Hg 3.31-3.50
Nd 0.0000 0.5939 0.0000  4 Au 3.14, 1 Ag 3.29, 6 Hg 3.31-3.50
Hg 0.5000 0.7356 0.7356  2 Ag 2.90, 2 Au 3.02
Hg 0.5000 0.2649 0.9996  2 Ag 2.91, 2 Au 3.00-3.02
Hg 0.5000 0.9996 0.2649  2 Ag 2.91, 2 Au 3.00-3.02
Ag 0.0000 0.9995 0.9995  6 Hg 2.90-2.91
Pr 0.0000 0.4057 0.4057  4 Au 3.16, 1 Ag 3.29, 6 Hg 3.31-3.49

Values from the calculation:
* energy of formation: -0.5856 eV/atom
* space group: No. 38
* spin magnetization: 0.0 μB per formula unit


# 3
Compound: TmLuCo2I2
Source: OQMD
Functional: PBE
Structure: optimized geometry

Cell: 3.9364 3.9364 12.1319 Å, 90.00 90.00 120.00°
With the nearest neighbours (Å) after each atom.
Fractional positions:
Tm 0.0000 0.0000 0.1478  6 Co 2.87-2.92, 3 I 3.12
Lu 0.0000 0.0000 0.8525  6 Co 2.86-2.92, 3 I 3.12
Co 0.6667 0.3333 0.0031  3 Co 2.27
Co 0.3333 0.6667 0.9962  3 Co 2.27
I 0.6667 0.3333 0.6767  3 Lu 3.12
I 0.3333 0.6667 0.3238  3 Tm 3.12

Values from the calculation:
* space group: No. 156
* spin magnetization: 0.5 μB per formula unit
* raw total energy: -5.18 eV/atom


# 4
Compound: La3ZnNiSn2Pt2
Source: OQMD
Functional: PBE
Structure: optimized geometry

Cell: 4.1379 7.5809 7.5809 Å, 120.05 90.00 90.00°
With the nearest neighbours (Å) after each atom.
Fractional positions:
Ni 0.0000 0.9994 0.9994  4 Sn 2.72, 2 Zn 2.75
Pt 0.5000 0.3335 0.6637  1 Zn 2.93, 2 Sn 2.99-3.00, 6 La 3.06-3.13
Pt 0.5000 0.6637 0.3335  1 Zn 2.93, 2 Sn 2.99-3.00, 6 La 3.06-3.13
La 0.0000 0.0047 0.4107  4 Pt 3.06-3.13, 1 Ni 3.10, 2 Zn 3.38, 4 Sn 3.39-3.42
La 0.0000 0.4107 0.0047  4 Pt 3.06-3.13, 1 Ni 3.10, 2 Zn 3.38, 4 Sn 3.39-3.42
La 0.0000 0.5790 0.5790  4 Pt 3.06, 1 Ni 3.19, 2 Zn 3.31
Sn 0.5000 0.0024 0.7682  2 Ni 2.72, 2 Pt 2.99-3.00
Sn 0.5000 0.7682 0.0024  2 Ni 2.72, 2 Pt 2.99-3.00
Zn 0.5000 0.2385 0.2385  2 Ni 2.75, 2 Pt 2.93

Values from the calculation:
* space group: No. 38
* spin magnetization: 0.0 μB per formula unit
* raw total energy: -5.53 eV/atom


# 5
Compound: NbZnPt
Source: OQMD
Functional: PBE
Structure: optimized geometry

Cell: 4.2947 4.2947 4.2947 Å, 60.00 60.00 60.00°
With the nearest neighbours (Å) after each atom.
Fractional positions:
Nb 0.2500 0.2500 0.2500  4 Pt 2.63
Pt 0.0000 0.0000 0.0000  4 Nb 2.63, 4 Zn 2.63
Zn 0.7500 0.7500 0.7500  4 Pt 2.63

Values from the calculation:
* energy of formation: -0.2731 eV/atom
* space group: No. 216
* spin magnetization: 0.3 μB per formula unit


# 6
Compound: MgUAg
Source: OQMD
Functional: PBE
Structure: optimized geometry

Cell: 4.9781 4.9781 4.9781 Å, 60.00 60.00 60.00°
With the nearest neighbours (Å) after each atom.
Fractional positions:
Mg 0.7500 0.7500 0.7500  4 U 3.05
Ag 0.2500 0.2500 0.2500  4 U 3.05
U 0.0000 0.0000 0.0000  4 Mg 3.05, 4 Ag 3.05

Values from the calculation:
* space group: No. 216
* spin magnetization: 3.3 μB per formula unit
* raw total energy: -4.01 eV/atom


# 7
Compound: LaDyGa6
Source: OQMD
Functional: PBE
Structure: optimized geometry

Cell: 6.4363 6.4363 4.5549 Å, 90.00 90.00 120.00°
With the nearest neighbours (Å) after each atom.
Fractional positions:
La 0.3333 0.6667 0.5000  12 Ga 3.12-3.23
Ga 0.5240 0.0481 0.0000  6 Ga 2.75-2.79
Ga 0.9519 0.4760 0.0000  6 Ga 2.75-2.79
Ga 0.5240 0.4760 0.0000  6 Ga 2.75-2.79
Ga 0.8137 0.1863 0.5000  6 Ga 2.79-2.84, 2 Dy 3.08
Ga 0.3726 0.1863 0.5000  6 Ga 2.79-2.84, 2 Dy 3.08
Ga 0.8137 0.6274 0.5000  6 Ga 2.79-2.84, 2 Dy 3.08
Dy 0.0000 0.0000 0.0000  12 Ga 3.08-3.23

Values from the calculation:
* space group: No. 187
* spin magnetization: 0.0 μB per formula unit
* raw total energy: -4.02 eV/atom


# 8
Compound: La2Pr2CICl4
Source: OQMD
Functional: PBE
Structure: optimized geometry

Cell: 9.2102 9.2102 8.8632 Å, 104.63 104.63 25.28°
With the nearest neighbours (Å) after each atom.
Fractional positions:
I 0.5000 0.5000 0.5000  4 Pr 3.36
Cl 0.8360 0.8360 0.6827  2 La 2.87, 1 Pr 2.88
Cl 0.1689 0.1689 0.8537  1 Pr 2.94, 3 La 2.94-3.20
Cl 0.1640 0.1640 0.3173  2 La 2.87, 1 Pr 2.88
Cl 0.8311 0.8311 0.1463  1 Pr 2.94, 3 La 2.94-3.20
La 0.3524 0.3524 0.9194  1 C 2.56, 2 Cl 2.87
La 0.6476 0.6476 0.0806  1 C 2.56, 2 Cl 2.87
Pr 0.9992 0.9992 0.1962  2 C 2.66, 2 Cl 2.88-2.94
Pr 0.0008 0.0008 0.8038  2 C 2.66, 2 Cl 2.88-2.94
C 0.5000 0.5000 0.0000  2 La 2.56, 4 Pr 2.66

Values from the calculation:
* space group: No. 12
* spin magnetization: 0.0 μB per formula unit
* raw total energy: -5.36 eV/atom


# 9
Compound: NbTcNiGe
Source: OQMD
Functional: PBE
Structure: optimized geometry

Cell: 4.3513 4.3513 4.3513 Å, 60.00 60.00 60.00°
With the nearest neighbours (Å) after each atom.
Fractional positions:
Ni 0.7500 0.7500 0.7500  4 Ge 2.66, 4 Nb 2.66
Nb 0.5000 0.5000 0.5000  4 Tc 2.66, 4 Ni 2.66
Tc 0.2500 0.2500 0.2500  4 Ge 2.66, 4 Nb 2.66
Ge 0.0000 0.0000 0.0000  4 Tc 2.66, 4 Ni 2.66

Values from the calculation:
* space group: No. 216
* spin magnetization: 0.1 μB per formula unit
* energy above the most stable polymorph in this dataset: 0 meV per atom


# 10
Compound: GdB4As
Source: OQMD
Functional: PBE
Structure: optimized geometry

Cell: 3.1805 3.1805 7.7045 Å, 90.00 90.00 120.00°
With the nearest neighbours (Å) after each atom.
Fractional positions:
Gd 0.0000 0.0000 0.0000  12 B 2.71
As 0.0000 0.0000 0.5000  12 B 2.61
B 0.6667 0.3333 0.7407  3 B 1.84
B 0.3333 0.6667 0.7407  3 B 1.84
B 0.6667 0.3333 0.2593  3 B 1.84
B 0.3333 0.6667 0.2593  3 B 1.84

Values from the calculation:
* space group: No. 191
* spin magnetization: 0.0 μB per formula unit
* energy above the most stable polymorph in this dataset: 150 meV per atom